Record 1
Entry from OQMD: a geometry-optimized HfPdS3 structure (GGA-PBE).

As for the space group: Pnma. The value obtained for the raw total energy is -128.0 eV per cell. The calculation puts the total magnetization at 0.0 μB/cell. For the volume, the calculation gives 22.410 Å³/atom.

a b c (Å): 9.059 4.087 12.107
angles (deg): 90.00 90.00 90.00
Fractional positions:
Hf 0.177 0.250 0.069
Hf 0.323 0.750 0.569
Hf 0.677 0.250 0.431
Hf 0.823 0.750 0.931
Pd 0.134 0.250 0.710
Pd 0.366 0.750 0.210
Pd 0.634 0.250 0.790
Pd 0.866 0.750 0.290
S 0.015 0.250 0.886
S 0.178 0.250 0.515
S 0.234 0.750 0.756
S 0.266 0.250 0.256
S 0.322 0.750 0.015
S 0.485 0.750 0.386
S 0.515 0.250 0.614
S 0.678 0.250 0.985
S 0.734 0.750 0.744
S 0.766 0.250 0.244
S 0.822 0.750 0.485
S 0.985 0.750 0.114


Record 2
Entry from OQMD: a geometry-optimized PmBeO3 structure (GGA-PBE).

As for the space group: R-3. The value obtained for the raw total energy is -69.4 eV per cell. The calculation puts the total magnetization at 2.0 μB/cell. For the volume, the calculation gives 11.927 Å³/atom.

a b c (Å): 5.646 5.646 5.646
angles (deg): 57.27 57.27 57.27
Fractional positions:
Pm 0.129 0.129 0.129
Pm 0.871 0.871 0.871
Be 0.400 0.400 0.400
Be 0.600 0.600 0.600
O 0.101 0.488 0.664
O 0.336 0.899 0.512
O 0.488 0.664 0.101
O 0.512 0.336 0.899
O 0.664 0.101 0.488
O 0.899 0.512 0.336


Record 3
Entry from OQMD: a geometry-optimized LaAl5Ni2 structure (GGA-PBE).

As for the space group: Immm. The value obtained for the raw total energy is -39.7 eV per cell. The calculation puts the total magnetization at 0.0 μB/cell. For the volume, the calculation gives 17.189 Å³/atom.

a b c (Å): 6.319 6.319 6.319
angles (deg): 142.87 112.04 80.06
Fractional positions:
La 0.000 0.000 0.000
Al 0.152 0.341 0.811
Al 0.470 0.659 0.811
Al 0.500 0.000 0.500
Al 0.530 0.341 0.189
Al 0.848 0.659 0.189
Ni 0.264 0.764 0.500
Ni 0.736 0.236 0.500


Record 4
Entry from OQMD: a geometry-optimized MgUPd structure (GGA-PBE).

As for the space group: F-43m. The value obtained for the raw total energy is -15.5 eV per cell. The calculation puts the total magnetization at 3.3 μB/cell. For the volume, the calculation gives 26.042 Å³/atom.

a b c (Å): 4.798 4.798 4.798
angles (deg): 60.00 60.00 60.00
Fractional positions:
Mg 0.000 0.000 0.000
U 0.250 0.250 0.250
Pd 0.500 0.500 0.500


The following mass density values (in g/cm3) correspond, in order, to the records above: 5.65; 5.62; 4.72; 7.84.